Density functional theory data (GGA-PBE) for a relaxed KCaRh3 crystal.

The structure in POSCAR format:
```
KCaRh3
1.0
5.0291 0.0000 0.0000
0.0000 5.0291 0.0000
0.0000 0.0000 5.0291
Rh K Ca
3 1 1
direct
0.0000 0.0000 0.5000
0.0000 0.5000 0.0000
0.5000 0.0000 0.0000
0.5000 0.5000 0.5000
0.0000 0.0000 0.0000
```

Results
volume	127.2	Å³ per cell
space-group type	Pm-3m, No. 221
ΔH_f (0 K)	1.22	eV per atom